Here is a relaxed Tl2HgW crystal from the Alexandria database. Energies are from PBE-GGA.

## Properties
Its relative energy among the computed polymorphs is 0.4553 eV/atom. The formation energy comes out at 4.7 eV/f.u.

```
Tl2HgW
1.0
0.0000 3.6330 3.6330
3.6330 0.0000 3.6330
3.6330 3.6330 0.0000
Tl Hg W
2 1 1
direct
0.2500 0.2500 0.2500
0.7500 0.7500 0.7500
0.0000 0.0000 0.0000
0.5000 0.5000 0.5000
```

***

Here is a relaxed Sr3Br5 crystal from the Alexandria database. Energies are from PBE-GGA.

## Properties
Its relative energy among the computed polymorphs is 0.0615 eV/atom. Its raw formation energy is -1.796 eV per atom.

```
Sr3Br5
1.0
4.4483 -6.4073 0.0000
4.4483 6.4073 0.0000
0.0000 0.0000 4.7629
Sr Br
3 5
direct
0.0000 0.0000 0.0000
0.3361 0.6639 0.5000
0.6639 0.3361 0.5000
0.0000 0.5000 0.0000
0.2129 0.2129 0.5000
0.5000 0.0000 0.0000
0.5000 0.5000 0.0000
0.7871 0.7871 0.5000
```

***

Here is a relaxed Ce2Sm2Ge4Pt crystal from the Alexandria database. Energies are from PBE-GGA.

## Properties
The formation energy comes out at -4.6 eV/f.u.

```
Ce2Sm2Ge4Pt
1.0
-3.6401 3.6401 4.1460
3.6401 -3.6401 4.1460
3.6401 3.6401 -4.1460
Ce Sm Ge Pt
2 2 4 1
direct
0.1646 0.1646 0.0000
0.8354 0.8354 0.0000
0.2500 0.7500 0.5000
0.7500 0.2500 0.5000
0.2575 0.2575 0.5150
0.2575 0.7425 0.0000
0.7425 0.2575 0.0000
0.7425 0.7425 0.4850
0.5000 0.5000 0.0000
```

***

Here is a relaxed YSi2Se crystal from the Alexandria database. Energies are from PBE-GGA.

## Properties
Its raw formation energy is -0.432 eV per atom.

```
YSi2Se
1.0
3.8921 0.0000 0.0000
0.0000 3.8921 0.0000
0.0000 0.0000 5.8952
Y Si Se
1 2 1
direct
0.0000 0.0000 0.0000
0.0000 0.0000 0.5170
0.5000 0.5000 0.6113
0.5000 0.5000 0.0509
```

***

Here is a relaxed TbCe2Tc2 crystal from the Alexandria database. Energies are from PBE-GGA.

## Properties
Its relative energy among the computed polymorphs is 0.0000 eV/atom. The formation energy comes out at -0.3 eV/f.u.

```
TbCe2Tc2
1.0
5.2524 0.0000 0.0000
0.0000 5.1661 0.0000
-0.0063 0.0000 8.9628
Tb Ce Tc
2 4 4
direct
0.0183 0.2500 0.2456
0.9817 0.7500 0.7544
0.3650 0.7500 0.4307
0.3973 0.2500 0.9043
0.6027 0.7500 0.0957
0.6350 0.2500 0.5693
0.1662 0.7500 0.0800
0.1861 0.2500 0.5861
0.8139 0.7500 0.4139
0.8338 0.2500 0.9200
```

***

Here is a relaxed KMnRhSe3 crystal from the Alexandria database. Energies are from PBE-GGA.

## Properties
Its raw formation energy is -0.625 eV per atom.

```
KMnRhSe3
1.0
8.1155 0.0000 0.0000
0.0000 3.8163 0.0000
-3.7781 0.0000 9.2617
K Mn Rh Se
2 2 2 6
direct
0.0027 0.2500 0.2693
0.9973 0.7500 0.7307
0.4926 0.7500 0.3475
0.5074 0.2500 0.6525
0.4348 0.2500 0.1276
0.5652 0.7500 0.8724
0.2301 0.7500 0.1229
0.3185 0.7500 0.5155
0.3571 0.2500 0.8530
0.6429 0.7500 0.1470
0.6815 0.2500 0.4845
0.7699 0.2500 0.8771
```

***

Here is a relaxed DyPd2Au3 crystal from the Alexandria database. Energies are from PBE-GGA.

## Properties
The formation energy comes out at -3.1 eV/f.u.

```
DyPd2Au3
1.0
2.9335 -4.2756 0.0000
2.9335 4.2756 0.0000
-2.8873 0.0000 8.7865
Dy Pd Au
2 4 6
direct
0.1257 0.8743 0.7500
0.8743 0.1257 0.2500
0.0452 0.2961 0.5932
0.2961 0.0452 0.0932
0.7039 0.9548 0.9068
0.9548 0.7039 0.4068
0.2134 0.4622 0.9278
0.3764 0.6236 0.2500
0.4622 0.2134 0.4278
0.5378 0.7866 0.5722
0.6236 0.3764 0.7500
0.7866 0.5378 0.0722
```

***

Here is a relaxed Eu3Mg5Br12 crystal from the Alexandria database. Energies are from PBE-GGA.

## Properties
Its raw formation energy is -1.273 eV per atom.

```
Eu3Mg5Br12
1.0
-8.8426 8.8426 8.8426
8.8426 -8.8426 8.8426
8.8426 8.8426 -8.8426
Eu Mg Br
12 20 48
direct
0.1250 0.2500 0.3750
0.1250 0.3750 0.7500
0.2500 0.3750 0.1250
0.2500 0.8750 0.6250
0.3750 0.1250 0.2500
0.3750 0.7500 0.1250
0.6250 0.2500 0.8750
0.6250 0.8750 0.7500
0.7500 0.1250 0.3750
0.7500 0.6250 0.8750
0.8750 0.6250 0.2500
0.8750 0.7500 0.6250
0.0000 0.0000 0.0000
0.0000 0.0000 0.5000
0.0000 0.5000 0.0000
0.0000 0.5000 0.5000
0.1250 0.7500 0.8750
0.1250 0.8750 0.2500
0.2500 0.1250 0.8750
0.2500 0.6250 0.3750
0.3750 0.2500 0.6250
0.3750 0.6250 0.7500
0.5000 0.0000 0.0000
0.5000 0.0000 0.5000
0.5000 0.5000 0.0000
0.5000 0.5000 0.5000
0.6250 0.3750 0.2500
0.6250 0.7500 0.3750
0.7500 0.3750 0.6250
0.7500 0.8750 0.1250
0.8750 0.1250 0.7500
0.8750 0.2500 0.1250
0.0376 0.2321 0.1348
0.0376 0.3055 0.9029
0.0971 0.6348 0.4027
0.0973 0.7321 0.6945
0.0973 0.8652 0.4029
0.0971 0.9624 0.6945
0.1348 0.0376 0.2321
0.1348 0.5971 0.9027
0.1945 0.2321 0.5973
0.1945 0.4624 0.5971
0.2321 0.1348 0.0376
0.2321 0.5973 0.1945
0.2679 0.3055 0.9027
0.2679 0.4624 0.3652
0.3055 0.9029 0.0376
0.3055 0.9027 0.2679
0.3652 0.2679 0.4624
0.3652 0.5973 0.9029
0.4027 0.0971 0.6348
0.4029 0.0973 0.8652
0.4029 0.8055 0.5376
0.4027 0.8055 0.7679
0.4624 0.3652 0.2679
0.4624 0.5971 0.1945
0.5376 0.4029 0.8055
0.5376 0.6348 0.7321
0.5973 0.1945 0.2321
0.5971 0.1945 0.4624
0.5971 0.9027 0.1348
0.5973 0.9029 0.3652
0.6348 0.4027 0.0971
0.6348 0.7321 0.5376
0.6945 0.0973 0.7321
0.6945 0.0971 0.9624
0.7321 0.5376 0.6348
0.7321 0.6945 0.0973
0.7679 0.4027 0.8055
0.7679 0.8652 0.9624
0.8055 0.5376 0.4029
0.8055 0.7679 0.4027
0.8652 0.4029 0.0973
0.8652 0.9624 0.7679
0.9029 0.0376 0.3055
0.9027 0.1348 0.5971
0.9027 0.2679 0.3055
0.9029 0.3652 0.5973
0.9624 0.6945 0.0971
0.9624 0.7679 0.8652
```

***

Here is a relaxed Y2CrSe2 crystal from the Alexandria database. Energies are from PBE-GGA.

## Properties
Its relative energy among the computed polymorphs is 0.0000 eV/atom. Its raw formation energy is -0.709 eV per atom.

```
Y2CrSe2
1.0
8.0626 0.0000 0.0000
0.0000 8.0626 0.0000
0.0000 0.0000 3.6878
Y Cr Se
4 2 4
direct
0.1530 0.3470 0.0000
0.3470 0.8470 0.0000
0.6530 0.1530 0.0000
0.8470 0.6530 0.0000
0.0000 0.0000 0.0000
0.5000 0.5000 0.0000
0.1455 0.6455 0.5000
0.3545 0.1455 0.5000
0.6455 0.8545 0.5000
0.8545 0.3545 0.5000
```

***

Here is a relaxed Na4Pu3MgO12 crystal from the Alexandria database. Energies are from PBE-GGA.

## Properties
Its raw formation energy is -2.337 eV per atom.

```
Na4Pu3MgO12
1.0
-4.1598 4.1598 4.1598
4.1598 -4.1598 4.1598
4.1598 4.1598 -4.1598
Na Pu Mg O
4 3 1 12
direct
0.0000 0.0000 0.5000
0.0000 0.5000 0.0000
0.5000 0.0000 0.0000
0.5000 0.5000 0.5000
0.0000 0.5000 0.5000
0.5000 0.0000 0.5000
0.5000 0.5000 0.0000
0.0000 0.0000 0.0000
0.0000 0.2627 0.2627
0.0000 0.7373 0.7373
0.2500 0.5000 0.7500
0.2500 0.7500 0.5000
0.2627 0.0000 0.2627
0.2627 0.2627 0.0000
0.5000 0.2500 0.7500
0.5000 0.7500 0.2500
0.7373 0.0000 0.7373
0.7373 0.7373 0.0000
0.7500 0.2500 0.5000
0.7500 0.5000 0.2500
```

***

Here is a relaxed SbTeOs2 crystal from the Alexandria database. Energies are from PBE-GGA.

## Properties
Its relative energy among the computed polymorphs is 0.6103 eV/atom. Its raw formation energy is 1.002 eV per atom.

```
SbTeOs2
1.0
-1.9720 1.9720 4.7159
1.9720 -1.9720 4.7159
1.9720 1.9720 -4.7159
Sb Te Os
1 1 2
direct
0.0000 0.0000 0.0000
0.2500 0.7500 0.5000
0.5000 0.5000 0.0000
0.7500 0.2500 0.5000
```

***

Here is a relaxed LaPb2IO4 crystal from the Alexandria database. Energies are from PBE-GGA.

## Properties
Its raw formation energy is -1.595 eV per atom.

```
LaPb2IO4
1.0
4.1023 0.0000 0.0000
0.0000 4.1023 0.0000
0.0000 0.0000 9.6944
La Pb I O
1 2 1 4
direct
0.0000 0.0000 0.0000
0.5000 0.5000 0.2593
0.5000 0.5000 0.7407
0.0000 0.0000 0.5000
0.0000 0.5000 0.1500
0.0000 0.5000 0.8500
0.5000 0.0000 0.1500
0.5000 0.0000 0.8500
```

***

Here is a relaxed K3Os crystal from the Alexandria database. Energies are from PBE-GGA.

## Properties
Its relative energy among the computed polymorphs is 0.1037 eV/atom. The formation energy comes out at 5.4 eV/f.u.

```
K3Os
1.0
3.5126 -5.8314 0.0000
3.5126 5.8314 0.0000
0.0000 0.0000 2.9313
K Os
3 1
direct
0.0000 0.0000 0.0000
0.0000 0.5000 0.5000
0.5000 0.0000 0.5000
0.5000 0.5000 0.0000
```

***

Here is a relaxed AlCdMo3 crystal from the Alexandria database. Energies are from PBE-GGA.

## Properties
Its relative energy among the computed polymorphs is 0.0000 eV/atom. The formation energy comes out at 7.1 eV/f.u.

```
AlCdMo3
1.0
4.5911 0.0000 0.0000
0.0000 4.5911 0.0000
0.0000 0.0000 4.5911
Al Cd Mo
1 1 3
direct
0.0000 0.0000 0.0000
0.5000 0.5000 0.5000
0.0000 0.0000 0.5000
0.0000 0.5000 0.0000
0.5000 0.0000 0.0000
```

***

Here is a relaxed GaNi2AuSe crystal from the Alexandria database. Energies are from PBE-GGA.

## Properties
Its raw formation energy is 0.371 eV per atom.

```
GaNi2AuSe
1.0
4.3809 0.0000 0.0000
0.0000 4.3809 0.0000
0.0000 0.0000 5.1277
Ga Ni Au Se
1 2 1 1
direct
0.0000 0.0000 0.0000
0.0000 0.5000 0.5000
0.5000 0.0000 0.5000
0.5000 0.5000 0.0000
0.5000 0.5000 0.5000
```

***

Here is a relaxed La9Pr11Er4 crystal from the Alexandria database. Energies are from PBE-GGA.

## Properties
The formation energy comes out at 1.2 eV/f.u.

```
La9Pr11Er4
1.0
8.3441 -13.8708 0.0000
8.3441 13.8708 0.0000
0.0000 0.0000 3.7304
La Pr Er
9 11 4
direct
0.0000 0.0000 0.0000
0.1153 0.6719 0.0000
0.2951 0.4680 0.0000
0.3281 0.8847 0.0000
0.4680 0.2951 0.0000
0.5320 0.7049 0.0000
0.6719 0.1153 0.0000
0.7049 0.5320 0.0000
0.8847 0.3281 0.0000
0.0994 0.4640 0.5000
0.1223 0.8777 0.5000
0.2406 0.2406 0.5000
0.3217 0.6783 0.5000
0.4640 0.0994 0.5000
0.5000 0.5000 0.5000
0.5360 0.9006 0.5000
0.6783 0.3217 0.5000
0.7594 0.7594 0.5000
0.8777 0.1223 0.5000
0.9006 0.5360 0.5000
0.0735 0.2662 0.0000
0.2662 0.0735 0.0000
0.7338 0.9265 0.0000
0.9265 0.7338 0.0000
```

***

Here is a relaxed CsHf2AlGa crystal from the Alexandria database. Energies are from PBE-GGA.

## Properties
The formation energy comes out at 4.8 eV/f.u.

```
CsHf2AlGa
1.0
5.3026 0.0000 0.0000
0.0000 5.3026 0.0000
0.0000 0.0000 4.8400
Cs Hf Al Ga
1 2 1 1
direct
0.0000 0.0000 0.0000
0.0000 0.5000 0.5000
0.5000 0.0000 0.5000
0.5000 0.5000 0.0000
0.5000 0.5000 0.5000
```

***

Here is a relaxed CsNa2PaS4 crystal from the Alexandria database. Energies are from PBE-GGA.

## Properties
Its raw formation energy is -1.268 eV per atom.

```
CsNa2PaS4
1.0
-3.7517 3.7517 4.6300
3.7517 -3.7517 4.6300
3.7517 3.7517 -4.6300
Cs Na Pa S
1 2 1 4
direct
0.0000 0.0000 0.0000
0.2500 0.7500 0.5000
0.7500 0.2500 0.5000
0.5000 0.5000 0.0000
0.1489 0.5396 0.0000
0.4604 0.4604 0.6093
0.5396 0.1489 0.0000
0.8511 0.8511 0.3907
```

***

Here is a relaxed LiCe2Hg crystal from the Alexandria database. Energies are from PBE-GGA.

## Properties
Its relative energy among the computed polymorphs is 0.0000 eV/atom. The formation energy comes out at -0.4 eV/f.u.

```
LiCe2Hg
1.0
4.3591 0.0000 0.0000
0.0000 4.3591 0.0000
0.0000 0.0000 4.9739
Li Ce Hg
1 2 1
direct
0.0000 0.0000 0.0000
0.0000 0.5000 0.5000
0.5000 0.0000 0.5000
0.5000 0.5000 0.0000
```

***

Here is a relaxed Hg8Bi2Pb crystal from the Alexandria database. Energies are from PBE-GGA.

## Properties
The formation energy comes out at 0.5 eV/f.u.

```
Hg8Bi2Pb
1.0
11.8002 -2.1936 0.0000
11.8002 2.1936 0.0000
-1.3946 0.0000 6.2253
Hg Bi Pb
8 2 1
direct
0.0442 0.0442 0.2158
0.1239 0.1239 0.6623
0.3135 0.3135 0.5496
0.4088 0.4088 0.0240
0.5912 0.5912 0.9760
0.6865 0.6865 0.4504
0.8761 0.8761 0.3377
0.9558 0.9558 0.7842
0.2157 0.2157 0.0931
0.7843 0.7843 0.9069
0.5000 0.5000 0.5000
```

***

Number 1: M_tot 3.24 μB per cell. Number 2: M_tot 0.44 μB per cell. Number 3: M_tot 2.04 μB per cell. Number 4: M_tot 0.00 μB per cell. Number 5: M_tot 0.00 μB per cell. Number 6: M_tot 6.96 μB per cell. Number 7: M_tot 0.00 μB per cell. Number 8: M_tot 84.98 μB per cell. Number 9: M_tot 9.81 μB per cell. Number 10: M_tot 6.00 μB per cell. Number 11: M_tot 0.00 μB per cell. Number 12: M_tot 0.00 μB per cell. Number 13: M_tot 0.02 μB per cell. Number 14: M_tot 0.75 μB per cell. Number 15: M_tot 0.00 μB per cell. Number 16: M_tot 0.34 μB per cell. Number 17: M_tot 0.00 μB per cell. Number 18: M_tot 0.00 μB per cell. Number 19: M_tot 1.10 μB per cell. Number 20: M_tot 0.00 μB per cell.